No. 1
VASP calculation (PBE) on a relaxed structure of LiZrTcMo.

Cell lengths 4.4911, 4.4911, 4.4911 Å; angles 60.00, 60.00, 60.00 degrees
Last column: nearest neighbours and their distance in Å.
Element x y z (fractional)
Li (0.0000, 0.0000, 0.0000)  4 Zr 2.75, 4 Tc 2.75
Zr (0.7500, 0.7500, 0.7500)  4 Mo 2.75, 4 Li 2.75
Tc (0.2500, 0.2500, 0.2500)  4 Mo 2.75, 4 Li 2.75
Mo (0.5000, 0.5000, 0.5000)  4 Zr 2.75, 4 Tc 2.75

Results
Energy above the lowest structure with this stoichiometry in kcal/mol of atoms: 1.331
Spin magnetization in μB per cell: 0.0



No. 2
VASP calculation (PBE) on a relaxed structure of Zr5Sn3As.

Cell lengths 8.6807, 8.6807, 5.9595 Å; angles 90.00, 90.00, 120.00 degrees
Last column: nearest neighbours and their distance in Å.
Element x y z (fractional)
Zr (0.0000, 0.2610, 0.2500)  2 As 2.71, 3 Sn 2.98-3.02
Zr (0.0000, 0.7390, 0.7500)  2 As 2.71, 3 Sn 2.98-3.02
Zr (0.2610, 0.0000, 0.2500)  2 As 2.71, 3 Sn 2.98-3.02
Zr (0.2610, 0.2610, 0.7500)  2 As 2.71, 3 Sn 2.98-3.02
Zr (0.3333, 0.6667, 0.0000)  2 Zr 2.98, 6 Sn 3.05
Zr (0.3333, 0.6667, 0.5000)  2 Zr 2.98, 6 Sn 3.05
Zr (0.6667, 0.3333, 0.0000)  2 Zr 2.98, 6 Sn 3.05
Zr (0.6667, 0.3333, 0.5000)  2 Zr 2.98, 6 Sn 3.05
Zr (0.7390, 0.0000, 0.7500)  2 As 2.71, 3 Sn 2.98-3.02
Zr (0.7390, 0.7390, 0.2500)  2 As 2.71, 3 Sn 2.98-3.02
Sn (0.0000, 0.3956, 0.7500)  9 Zr 2.98-3.20
Sn (0.0000, 0.6044, 0.2500)  9 Zr 2.98-3.20
Sn (0.3956, 0.0000, 0.7500)  9 Zr 2.98-3.20
Sn (0.3956, 0.3956, 0.2500)  9 Zr 2.98-3.20
Sn (0.6044, 0.0000, 0.2500)  9 Zr 2.98-3.20
Sn (0.6044, 0.6044, 0.7500)  9 Zr 2.98-3.20
As (0.0000, 0.0000, 0.0000)  6 Zr 2.71, 2 As 2.98
As (0.0000, 0.0000, 0.5000)  6 Zr 2.71, 2 As 2.98

Results
Spin magnetization in μB per cell: 0.0



No. 3
VASP calculation (PBE) on a relaxed structure of ZnAg9.

Cell lengths 2.9384, 4.1040, 41.2014 Å; angles 90.00, 90.00, 90.00 degrees
Last column: nearest neighbours and their distance in Å.
Element x y z (fractional)
Zn (0.2500, 0.2500, 0.1651)  5 Ag 2.72-2.73, 2 Zn 2.94
Zn (0.7500, 0.7500, 0.8349)  5 Ag 2.72-2.73, 2 Zn 2.94
Ag (0.2500, 0.2500, 0.2311)  1 Zn 2.72, 11 Ag 2.90-3.03
Ag (0.2500, 0.2500, 0.3025)  12 Ag 2.92-2.96
Ag (0.2500, 0.2500, 0.3744)  12 Ag 2.92-2.96
Ag (0.2500, 0.2500, 0.4462)  12 Ag 2.92-2.96
Ag (0.2500, 0.2500, 0.5180)  12 Ag 2.92-2.96
Ag (0.2500, 0.2500, 0.5898)  12 Ag 2.92-2.97
Ag (0.2500, 0.2500, 0.6618)  12 Ag 2.92-2.98
Ag (0.2500, 0.2500, 0.7342)  12 Ag 2.90-3.11
Ag (0.2500, 0.2500, 0.8097)  4 Zn 2.73, 6 Ag 2.94-3.03
Ag (0.7500, 0.7500, 0.1903)  4 Zn 2.73, 6 Ag 2.94-3.03
Ag (0.7500, 0.7500, 0.2658)  12 Ag 2.90-3.11
Ag (0.7500, 0.7500, 0.3382)  12 Ag 2.92-2.98
Ag (0.7500, 0.7500, 0.4102)  12 Ag 2.92-2.97
Ag (0.7500, 0.7500, 0.4820)  12 Ag 2.92-2.96
Ag (0.7500, 0.7500, 0.5538)  12 Ag 2.92-2.96
Ag (0.7500, 0.7500, 0.6256)  12 Ag 2.92-2.96
Ag (0.7500, 0.7500, 0.6975)  12 Ag 2.92-2.96
Ag (0.7500, 0.7500, 0.7689)  1 Zn 2.72, 11 Ag 2.90-3.03

Results
Energy above the lowest structure with this stoichiometry in kcal/mol of atoms: 0.168
Formation energy from the elements in kJ/mol of formula units: 48



No. 4
VASP calculation (PBE) on a relaxed structure of GdErMg2.

Cell lengths 5.4748, 6.7716, 6.7716 Å; angles 61.84, 90.00, 90.00 degrees
Last column: nearest neighbours and their distance in Å.
Element x y z (fractional)
Gd (0.0000, 0.2466, 0.7534)  6 Mg 3.35-3.40, 4 Er 3.38-3.41, 2 Gd 3.43-3.53
Gd (0.0000, 0.7534, 0.2466)  6 Mg 3.35-3.40, 4 Er 3.38-3.41, 2 Gd 3.43-3.53
Er (0.0000, 0.7495, 0.7495)  8 Mg 3.37-3.48, 4 Gd 3.38-3.39
Er (0.5000, 0.4140, 0.4140)  8 Mg 3.32-3.48, 4 Gd 3.41
Mg (0.0000, 0.2524, 0.2524)  4 Er 3.32-3.48, 4 Gd 3.37-3.40, 4 Mg 3.38
Mg (0.5000, 0.4118, 0.9205)  6 Mg 3.35-3.54, 4 Er 3.35-3.42, 2 Gd 3.35
Mg (0.5000, 0.9186, 0.9186)  4 Mg 3.35-3.43, 4 Gd 3.37, 4 Er 3.37-3.48
Mg (0.5000, 0.9205, 0.4118)  6 Mg 3.35-3.54, 4 Er 3.35-3.42, 2 Gd 3.35

Results
Energy above the lowest structure with this stoichiometry in kcal/mol of atoms: 2.327
Spin magnetization in μB per cell: 0.2



No. 5
VASP calculation (PBE) on a relaxed structure of LiFeSbAu.

Cell lengths 4.5082, 4.5082, 4.5082 Å; angles 60.00, 60.00, 60.00 degrees
Last column: nearest neighbours and their distance in Å.
Element x y z (fractional)
Li (0.0000, 0.0000, 0.0000)  4 Sb 2.76, 4 Au 2.76
Fe (0.5000, 0.5000, 0.5000)  4 Sb 2.76, 4 Au 2.76
Sb (0.2500, 0.2500, 0.2500)  4 Fe 2.76, 4 Li 2.76
Au (0.7500, 0.7500, 0.7500)  4 Fe 2.76, 4 Li 2.76

Results
Energy above the lowest structure with this stoichiometry in kcal/mol of atoms: 0.000
Spin magnetization in μB per cell: 2.3



No. 6
VASP calculation (PBE) on a relaxed structure of Dy4Ga21Ni10.

Cell lengths 10.6492, 10.6492, 15.5021 Å; angles 124.51, 124.51, 22.11 degrees
Last column: nearest neighbours and their distance in Å.
Element x y z (fractional)
Dy (0.1198, 0.1198, 0.3334)  10 Ga 2.89-3.16, 4 Ni 2.98-3.11
Dy (0.2296, 0.2296, 0.8231)  9 Ga 2.87-3.17, 4 Ni 3.11-3.16
Dy (0.7704, 0.7704, 0.1769)  9 Ga 2.87-3.17, 4 Ni 3.11-3.16
Dy (0.8802, 0.8802, 0.6666)  10 Ga 2.89-3.16, 4 Ni 2.98-3.11
Ga (0.0063, 0.0063, 0.0908)  4 Ni 2.53-2.71, 3 Ga 2.67-2.74
Ga (0.0648, 0.0648, 0.7948)  5 Ni 2.52-2.59, 1 Ga 2.80
Ga (0.1174, 0.1174, 0.5545)  3 Ni 2.36-2.55
Ga (0.2004, 0.2004, 0.0022)  4 Ni 2.50-2.65, 1 Ga 2.80
Ga (0.2481, 0.2481, 0.2947)  3 Ni 2.47-2.54, 1 Ga 2.68
Ga (0.2980, 0.2980, 0.4974)  3 Ni 2.48-2.53, 2 Ga 2.68-2.77
Ga (0.3736, 0.3736, 0.8056)  4 Ni 2.52-2.58, 1 Ga 2.79
Ga (0.3850, 0.3850, 0.2965)  3 Ni 2.49-2.59, 2 Ga 2.64-2.74
Ga (0.3991, 0.3991, 0.0030)  4 Ni 2.38-2.47
Ga (0.4604, 0.4604, 0.6313)  3 Ni 2.46-2.59, 2 Ga 2.60-2.74
Ga (0.5000, 0.5000, 0.5000)  4 Ni 2.49, 4 Ga 2.60-2.64
Ga (0.5396, 0.5396, 0.3687)  3 Ni 2.46-2.59, 2 Ga 2.60-2.74
Ga (0.6009, 0.6009, 0.9970)  4 Ni 2.38-2.47
Ga (0.6150, 0.6150, 0.7035)  3 Ni 2.49-2.59, 2 Ga 2.64-2.74
Ga (0.6264, 0.6264, 0.1944)  4 Ni 2.52-2.58, 1 Ga 2.79
Ga (0.7020, 0.7020, 0.5026)  3 Ni 2.48-2.53, 2 Ga 2.68-2.77
Ga (0.7519, 0.7519, 0.7053)  3 Ni 2.47-2.54, 1 Ga 2.68
Ga (0.7996, 0.7996, 0.9978)  4 Ni 2.50-2.65, 1 Ga 2.80
Ga (0.8826, 0.8826, 0.4455)  3 Ni 2.36-2.55
Ga (0.9352, 0.9352, 0.2052)  5 Ni 2.52-2.59, 1 Ga 2.80
Ga (0.9937, 0.9937, 0.9092)  4 Ni 2.53-2.71, 3 Ga 2.67-2.74
Ni (0.0249, 0.0249, 0.6071)  9 Ga 2.49-2.59
Ni (0.1321, 0.1321, 0.1023)  8 Ga 2.46-2.71
Ni (0.2500, 0.2500, 0.6141)  7 Ga 2.36-2.58
Ni (0.3477, 0.3477, 0.1121)  7 Ga 2.47-2.56, 1 Ni 2.74
Ni (0.4972, 0.4972, 0.8133)  7 Ga 2.38-2.59
Ni (0.5028, 0.5028, 0.1867)  7 Ga 2.38-2.59
Ni (0.6523, 0.6523, 0.8879)  7 Ga 2.47-2.56, 1 Ni 2.74
Ni (0.7500, 0.7500, 0.3859)  7 Ga 2.36-2.58
Ni (0.8679, 0.8679, 0.8977)  8 Ga 2.46-2.71
Ni (0.9751, 0.9751, 0.3929)  9 Ga 2.49-2.59

Results
Spin magnetization in μB per cell: 0.0



No. 7
VASP calculation (PBE) on a relaxed structure of Hf2W.

Cell lengths 5.5357, 5.5357, 17.7415 Å; angles 90.00, 90.00, 120.00 degrees
Last column: nearest neighbours and their distance in Å.
Element x y z (fractional)
Hf (0.0000, 0.5000, 0.0000)  6 Hf 2.77
Hf (0.0000, 0.5000, 0.5000)  6 Hf 2.77
Hf (0.1588, 0.3176, 0.2500)  6 Hf 2.64-2.90
Hf (0.1588, 0.8412, 0.2500)  6 Hf 2.64-2.90
Hf (0.3176, 0.1588, 0.7500)  6 Hf 2.64-2.90
Hf (0.3333, 0.6667, 0.1274)  6 Hf 2.75-2.77
Hf (0.3333, 0.6667, 0.3726)  6 Hf 2.75-2.77
Hf (0.5000, 0.0000, 0.0000)  6 Hf 2.77
Hf (0.5000, 0.0000, 0.5000)  6 Hf 2.77
Hf (0.5000, 0.5000, 0.0000)  6 Hf 2.77
Hf (0.5000, 0.5000, 0.5000)  6 Hf 2.77
Hf (0.6667, 0.3333, 0.6274)  6 Hf 2.75-2.77
Hf (0.6667, 0.3333, 0.8726)  6 Hf 2.75-2.77
Hf (0.6824, 0.8412, 0.2500)  6 Hf 2.64-2.90
Hf (0.8412, 0.1588, 0.7500)  6 Hf 2.64-2.90
Hf (0.8412, 0.6824, 0.7500)  6 Hf 2.64-2.90
W (0.0000, 0.0000, 0.0917)  12 Hf 3.19-3.26, 4 W 3.25-3.39
W (0.0000, 0.0000, 0.4083)  12 Hf 3.19-3.26, 4 W 3.25-3.39
W (0.0000, 0.0000, 0.5917)  12 Hf 3.19-3.26, 4 W 3.25-3.39
W (0.0000, 0.0000, 0.9083)  12 Hf 3.19-3.26, 4 W 3.25-3.39
W (0.3333, 0.6667, 0.6547)  12 Hf 3.18-3.24, 4 W 3.38-3.39
W (0.3333, 0.6667, 0.8453)  12 Hf 3.18-3.24, 4 W 3.38-3.39
W (0.6667, 0.3333, 0.1547)  12 Hf 3.18-3.24, 4 W 3.38-3.39
W (0.6667, 0.3333, 0.3453)  12 Hf 3.18-3.24, 4 W 3.38-3.39

Results
Energy above the lowest structure with this stoichiometry in kcal/mol of atoms: 13.524
Formation energy from the elements in kJ/mol of formula units: 202
Spin magnetization in μB per cell: 0.0



No. 8
VASP calculation (PBE) on a relaxed structure of RbCoCuS3.

Cell lengths 7.9945, 3.5559, 9.3105 Å; angles 90.00, 114.70, 90.00 degrees
Last column: nearest neighbours and their distance in Å.
Element x y z (fractional)
Rb (0.0188, 0.2500, 0.2697)  8 S 3.30-3.67, 2 Rb 3.56
Rb (0.9812, 0.7500, 0.7303)  8 S 3.30-3.67, 2 Rb 3.56
Co (0.4697, 0.2500, 0.1448)  6 S 2.23-2.40
Co (0.5303, 0.7500, 0.8552)  6 S 2.23-2.40
Cu (0.4675, 0.7500, 0.3943)  4 S 2.23-2.35
Cu (0.5325, 0.2500, 0.6057)  4 S 2.23-2.35
S (0.2782, 0.7500, 0.1374)  1 Cu 2.23, 2 Co 2.33
S (0.3362, 0.7500, 0.5775)  3 Cu 2.31-2.35, 1 Co 2.40
S (0.3641, 0.2500, 0.8817)  3 Co 2.23-2.29
S (0.6359, 0.7500, 0.1183)  3 Co 2.23-2.29
S (0.6638, 0.2500, 0.4225)  3 Cu 2.31-2.35, 1 Co 2.40
S (0.7218, 0.2500, 0.8626)  1 Cu 2.23, 2 Co 2.33

Results
Energy above the lowest structure with this stoichiometry in kcal/mol of atoms: 0.000
Spin magnetization in μB per cell: 0.0



Number 1: E -7.776 eV/atom. Number 2: E -7.373 eV/atom. Number 3: E -2.618 eV/atom. Number 4: E -3.054 eV/atom. Number 5: E -4.498 eV/atom. Number 6: E -4.453 eV/atom. Number 7: E -10.259 eV/atom. Number 8: E -4.533 eV/atom.